VASP calculation (PBE-GGA) on a relaxed TmZr2Cu crystal.

```
TmZr2Cu
1.0
3.272 0.000 0.000
0.000 3.272 0.000
0.000 0.000 8.054
Tm Zr Cu
1 2 1
Direct
0.000 0.000 0.000
0.500 0.500 0.290
0.500 0.500 0.710
0.000 0.000 0.500
```

Symmetry = P4/mmm, No. 123
ΔE_f = 5 meV per atom

=====

VASP calculation (PBE-GGA) on a relaxed Tc2TeSe crystal.

```
Tc2TeSe
1.0
3.126 0.000 0.000
0.000 4.229 0.000
0.000 0.000 5.478
Tc Te Se
2 1 1
Direct
0.000 0.000 0.000
0.500 0.000 0.500
0.000 0.500 0.500
0.500 0.500 0.000
```

Symmetry = Pmmm, No. 47
Energy relative to the elements, uncorrected = 0.77 eV/atom

=====

VASP calculation (PBE-GGA) on a relaxed Pr5Ga3H crystal.

```
Pr5Ga3H
1.0
-3.990 3.990 7.279
3.990 -3.990 7.279
3.990 3.990 -7.279
Pr Ga H
10 6 2
Direct
0.000 0.000 0.000
0.019 0.519 0.841
0.178 0.019 0.500
0.322 0.822 0.841
0.481 0.322 0.500
0.500 0.500 0.000
0.519 0.678 0.500
0.678 0.178 0.159
0.822 0.981 0.500
0.981 0.481 0.159
0.116 0.384 0.500
0.250 0.250 0.000
0.384 0.884 0.268
0.616 0.116 0.732
0.750 0.750 0.000
0.884 0.616 0.500
0.250 0.750 0.500
0.750 0.250 0.500
```

Symmetry = I4/mcm, No. 140
E = -4.530 eV per atom

=====

VASP calculation (PBE-GGA) on a relaxed KPm2Te3 crystal.

```
KPm2Te3
1.0
4.361 0.000 0.000
0.000 13.060 0.000
0.000 0.000 7.889
K Pm Te
2 4 6
Direct
0.000 0.123 0.000
0.000 0.877 0.500
0.000 0.224 0.504
0.000 0.776 0.004
0.500 0.499 0.504
0.500 0.501 0.004
0.000 0.401 0.758
0.000 0.599 0.258
0.500 0.082 0.646
0.500 0.306 0.246
0.500 0.694 0.746
0.500 0.918 0.146
```

Symmetry = Pmc2_1, No. 26
Energy relative to the elements, uncorrected = -1.30 eV/atom

=====

VASP calculation (PBE-GGA) on a relaxed PmTm2H crystal.

```
PmTm2H
1.0
1.785 1.031 8.467
-1.785 1.031 8.467
0.000 -2.061 8.467
Pm Tm H
1 2 1
Direct
0.000 0.000 0.000
0.220 0.220 0.220
0.780 0.780 0.780
0.500 0.500 0.500
```

Symmetry = R-3m, No. 166
E = -4.455 eV per atom

=====

VASP calculation (PBE-GGA) on a relaxed ReBrCl2 crystal.

```
ReBrCl2
1.0
-1.523 2.471 6.686
1.523 -2.471 6.686
1.523 2.471 -6.686
Re Br Cl
1 1 2
Direct
0.000 0.000 0.000
0.500 0.500 0.000
0.142 0.642 0.500
0.858 0.358 0.500
```

Symmetry = Immm, No. 71
Energy relative to the elements, uncorrected = 0.11 eV/atom

=====

VASP calculation (PBE-GGA) on a relaxed Zn2As crystal.

```
Zn2As
1.0
-1.884 1.884 14.890
1.884 -1.884 14.890
1.884 1.884 -14.890
Zn As
8 4
Direct
0.125 0.375 0.750
0.286 0.536 0.750
0.375 0.125 0.250
0.464 0.714 0.750
0.536 0.286 0.250
0.625 0.875 0.750
0.714 0.464 0.250
0.875 0.625 0.250
0.056 0.806 0.250
0.194 0.944 0.250
0.806 0.056 0.750
0.944 0.194 0.750
```

Symmetry = I4_1/amd, No. 141
ΔE_f = 125 meV per atom

=====

VASP calculation (PBE-GGA) on a relaxed Pa2TlZn crystal.

```
Pa2TlZn
1.0
4.391 0.000 0.000
0.000 4.391 0.000
0.000 0.000 4.797
Pa Tl Zn
2 1 1
Direct
0.000 0.500 0.000
0.500 0.000 0.000
0.000 0.000 0.500
0.500 0.500 0.500
```

Symmetry = P4/mmm, No. 123
ΔE_f = 119 meV per atom